# 1
Material: TaCdSi2O
Method: DFT, PBE
State: relaxed

Unit cell a=4.0765 b=4.0765 c=4.5860 alpha=90.00 beta=90.00 gamma=90.00
Fractional coordinates of all 5 atoms:
Ta1 0.0000 0.0000 0.0000
Cd1 0.5000 0.5000 0.0000
Si1 0.0000 0.5000 0.5000
Si2 0.5000 0.0000 0.5000
O1 0.5000 0.5000 0.5000

Results
DFT total energy ... -27.29 eV per cell
E above lowest polymorph ... 168 meV per atom
Uncorrected formation energy ... 0.2573 eV per atom

# 2
Material: Nb2Ni4Pt3
Method: DFT, PBE
State: relaxed

Unit cell a=4.6640 b=4.7036 c=7.1095 alpha=89.98 beta=72.16 gamma=60.61
Fractional coordinates of all 9 atoms:
Nb1 0.1954 0.0493 0.1806
Nb2 0.8046 0.9507 0.8194
Ni1 0.1198 0.2839 0.8404
Ni2 0.3342 0.8439 0.5032
Ni3 0.6658 0.1561 0.4968
Ni4 0.8802 0.7161 0.1596
Pt1 0.0000 0.5000 0.5000
Pt2 0.4469 0.6202 0.8305
Pt3 0.5531 0.3798 0.1695

Results
DFT total energy ... -64.69 eV per cell
Formation enthalpy at 0 K ... -367 meV/atom

# 3
Material: SrMnBe2
Method: DFT, PBE
State: relaxed

Unit cell a=6.6228 b=6.6228 c=6.6228 alpha=90.00 beta=90.00 gamma=90.00
Fractional coordinates of all 16 atoms:
Sr1 0.0000 0.0000 0.0000
Sr2 0.0000 0.5000 0.5000
Sr3 0.5000 0.0000 0.5000
Sr4 0.5000 0.5000 0.0000
Mn1 0.2500 0.2500 0.7500
Mn2 0.2500 0.7500 0.2500
Mn3 0.7500 0.2500 0.2500
Mn4 0.7500 0.7500 0.7500
Be1 0.0000 0.0000 0.5000
Be2 0.0000 0.5000 0.0000
Be3 0.2500 0.2500 0.2500
Be4 0.2500 0.7500 0.7500
Be5 0.5000 0.0000 0.0000
Be6 0.5000 0.5000 0.5000
Be7 0.7500 0.2500 0.7500
Be8 0.7500 0.7500 0.2500

Results
DFT total energy ... -59.28 eV per cell
E above lowest polymorph ... 639 meV per atom
Formation enthalpy at 0 K ... 871 meV/atom

# 4
Material: HgRuW3
Method: DFT, PBE
State: relaxed

Unit cell a=4.8311 b=4.8311 c=4.8311 alpha=90.00 beta=90.00 gamma=90.00
Fractional coordinates of all 5 atoms:
Hg1 0.0000 0.0000 0.0000
Ru1 0.5000 0.5000 0.5000
W1 0.0000 0.0000 0.5000
W2 0.0000 0.5000 0.0000
W3 0.5000 0.0000 0.0000

Results
DFT total energy ... -31.43 eV per cell
E above lowest polymorph ... 1521 meV per atom
Formation enthalpy at 0 K ... 3402 meV/atom

# 5
Material: PaSi4Ni4
Method: DFT, PBE
State: relaxed

Unit cell a=5.9099 b=5.9099 c=5.9099 alpha=97.84 beta=97.84 gamma=136.64
Fractional coordinates of all 9 atoms:
Pa1 0.0000 0.0000 0.0000
Si1 0.1243 0.6082 0.7325
Si2 0.3918 0.1243 0.5161
Si3 0.6082 0.8757 0.4839
Si4 0.8757 0.3918 0.2675
Ni1 0.1808 0.3194 0.5003
Ni2 0.3194 0.8192 0.1386
Ni3 0.6806 0.1808 0.8614
Ni4 0.8192 0.6806 0.4997

Results
DFT total energy ... -58.18 eV per cell
E above lowest polymorph ... 90 meV per atom
Uncorrected formation energy ... -0.4293 eV per atom

# 6
Material: Ti5Nb
Method: DFT, PBE
State: relaxed

Unit cell a=4.6308 b=13.7738 c=3.2672 alpha=90.00 beta=90.00 gamma=90.00
Fractional coordinates of all 12 atoms:
Ti1 0.0000 0.0000 0.0000
Ti2 0.0000 0.1748 0.5000
Ti3 0.0000 0.3452 0.0000
Ti4 0.0000 0.6548 0.0000
Ti5 0.0000 0.8252 0.5000
Ti6 0.5000 0.1548 0.0000
Ti7 0.5000 0.3252 0.5000
Ti8 0.5000 0.5000 0.0000
Ti9 0.5000 0.6748 0.5000
Ti10 0.5000 0.8452 0.0000
Nb1 0.0000 0.5000 0.5000
Nb2 0.5000 0.0000 0.5000

Results
DFT total energy ... -98.18 eV per cell
E above lowest polymorph ... 34 meV per atom
Formation enthalpy at 0 K ... 76 meV/atom

# 7
Material: BeSiOF2
Method: DFT, PBE
State: relaxed

Unit cell a=3.3098 b=3.3098 c=4.4215 alpha=90.00 beta=90.00 gamma=90.00
Fractional coordinates of all 5 atoms:
Be1 0.0000 0.0000 0.0000
Si1 0.5000 0.5000 0.5000
O1 0.0000 0.0000 0.5000
F1 0.0000 0.5000 0.0000
F2 0.5000 0.0000 0.0000

Results
DFT total energy ... -26.41 eV per cell
E above lowest polymorph ... 0 meV per atom
Uncorrected formation energy ... -1.7125 eV per atom

DFT total energy of number 6 (Ti5Nb)?
-98.18 eV per cell